Density functional theory data (PBE) for crystalline AcLa2Nd3S6 at its relaxed geometry.

Output
total DFT energy (no corrections): -6.491 eV per atom
formation energy without anion corrections: -2.0721 eV/atom
D(E_F): 11.6 states/eV/cell

a = 7.163 Å, b = 12.426 Å, c = 7.167 Å
α = 90.00°, β = 109.56°, γ = 90.00°
Space group C2/m (No. 12)
Symmetry-distinct sites (fractional):
Ac  0.000  0.000  0.000 x2
La  0.000  0.333  0.000 x4
Nd  0.000  0.166  0.500 x4
Nd  0.000  0.500  0.500 x2
S  0.245  0.331  0.741 x8
S  0.248  0.500  0.257 x4